Compound: NaSr3Pd
Source: Alexandria
Functional: PBE
Structure: optimized geometry

a = 5.1618 Å, b = 5.1618 Å, c = 9.9912 Å
α = 90.00°, β = 90.00°, γ = 90.00°
Fractional coordinates of all 5 atoms:
Sr 0.0000 0.0000 0.6156
Sr 0.5000 0.0000 0.2708
Sr 0.0000 0.5000 0.2708
Pd 0.5000 0.5000 0.1086
Na 0.0000 0.0000 0.9980

Calculated values
- total magnetic moment (μB/f.u.) = 0.00
- distance to the lowest polymorph of the same formula (eV/f.u.) = 2.289
- density of states at the Fermi level (states/eV/f.u.) = 5.36
- calculated volume (Å³ per atom) = 53.2
- energy of formation from the pure elements (meV/atom) = 172
- final energy (eV per cell) = -10.698

Compound: Ac2SmInN
Source: Alexandria
Functional: PBE
Structure: optimized geometry

a = 5.0275 Å, b = 5.3472 Å, c = 5.3472 Å
α = 90.00°, β = 90.00°, γ = 90.00°
Fractional coordinates of all 5 atoms:
Ac 0.0000 0.0000 0.5000
Ac 0.0000 0.5000 0.0000
Sm 0.5000 0.0000 0.0000
In 0.5000 0.5000 0.5000
N 0.0000 0.0000 0.0000

Calculated values
- total magnetic moment (μB/f.u.) = 0.00
- density of states at the Fermi level (states/eV/f.u.) = 3.23
- calculated volume (Å³ per atom) = 28.8
- final energy (eV per cell) = -27.629

Compound: Tm2Pt4Au
Source: Alexandria
Functional: PBE
Structure: optimized geometry

a = 3.9616 Å, b = 3.9616 Å, c = 9.5530 Å
α = 101.97°, β = 101.97°, γ = 90.00°
Fractional coordinates of all 7 atoms:
Tm 0.6169 0.6169 0.2338
Tm 0.3831 0.3831 0.7662
Pt 0.1437 0.1437 0.2874
Pt 0.8563 0.8563 0.7126
Pt 0.7500 0.2500 0.5000
Pt 0.2500 0.7500 0.5000
Au 0.0000 0.0000 0.0000

Calculated values
- total magnetic moment (μB/f.u.) = 0.00
- distance to the lowest polymorph of the same formula (eV/f.u.) = 0.000
- density of states at the Fermi level (states/eV/f.u.) = 1.98
- calculated volume (Å³ per atom) = 20.5
- energy of formation from the pure elements (meV/atom) = -886
- final energy (eV per cell) = -42.586

Compound: Pr2Cd3Ga2
Source: Alexandria
Functional: PBE
Structure: optimized geometry

a = 3.7017 Å, b = 4.3376 Å, c = 11.0883 Å
α = 101.28°, β = 90.00°, γ = 90.00°
Fractional coordinates of all 7 atoms:
Pr 0.0000 0.8392 0.6785
Pr 0.0000 0.1608 0.3215
Cd 0.5000 0.5695 0.1390
Cd 0.5000 0.4305 0.8610
Cd 0.0000 0.0000 0.0000
Ga 0.5000 0.7172 0.4344
Ga 0.5000 0.2828 0.5656

Calculated values
- total magnetic moment (μB/f.u.) = 0.00
- density of states at the Fermi level (states/eV/f.u.) = 2.53
- calculated volume (Å³ per atom) = 24.9
- energy of formation from the pure elements (meV/atom) = -370
- final energy (eV per cell) = -20.950

- Which of these has the lowest density of states at the Fermi level?
  Tm2Pt4Au

Please write out number 4 again, unchanged.
Compound: Pr2Cd3Ga2
Source: Alexandria
Functional: PBE
Structure: optimized geometry

a = 3.7017 Å, b = 4.3376 Å, c = 11.0883 Å
α = 101.28°, β = 90.00°, γ = 90.00°
Fractional coordinates of all 7 atoms:
Pr 0.0000 0.8392 0.6785
Pr 0.0000 0.1608 0.3215
Cd 0.5000 0.5695 0.1390
Cd 0.5000 0.4305 0.8610
Cd 0.0000 0.0000 0.0000
Ga 0.5000 0.7172 0.4344
Ga 0.5000 0.2828 0.5656

Calculated values
- total magnetic moment (μB/f.u.) = 0.00
- density of states at the Fermi level (states/eV/f.u.) = 2.53
- calculated volume (Å³ per atom) = 24.9
- energy of formation from the pure elements (meV/atom) = -370
- final energy (eV per cell) = -20.950

- Which formula does entry 2 have?
  Ac2SmInN